Entry from the Alexandria database: an optimized crystal structure of K2LaSnO4 (PBE).

a = 7.256 Å, b = 7.409 Å, c = 10.372 Å
α = 90.00°, β = 90.00°, γ = 90.00°
Space group Imma (No. 74)
Inequivalent atoms, fractional coordinates:
K  0.000  0.000  0.000
K  0.250  0.250  0.250
La  0.000  0.000  0.500
Sn  0.250  0.250  0.750
O  0.000  0.051  0.739
O  0.216  0.250  0.519

## Properties
formation energy (no corrections)	-189	kJ per mole of atoms
magnetic moment	0.0	μB per formula unit
DOS(E_F)	3.840	states/eV per cell